Entry 1:
A plane-wave DFT calculation with GGA-PBEsol was carried out for a relaxed CuNi2Pt crystal.

Values from the calculation:
DFT formation energy in eV/atom: -0.017
Total magnetization in μB per formula unit: 1.4

Lattice parameters (Å, degrees): 8.4396 2.6267 4.3884 90.00 101.07 90.00
With the nearest neighbours (Å) after each atom.
Space group C2/m (No. 12)
Asymmetric unit:
Cu 0.0000 0.0000 0.0000 (multiplicity 2)  6 Ni 2.54-2.55, 4 Pt 2.56, 2 Cu 2.63
Ni 0.2494 0.5000 0.2448 (multiplicity 4)  6 Ni 2.52-2.63, 3 Cu 2.54-2.55, 3 Pt 2.56-2.57
Pt 0.0000 0.5000 0.5000 (multiplicity 2)  4 Cu 2.56, 6 Ni 2.56-2.57, 2 Pt 2.63


Entry 2:
A plane-wave DFT calculation with GGA-PBEsol was carried out for a relaxed Cu2NiPt crystal.

Values from the calculation:
DFT formation energy in eV/atom: -0.016
Total magnetization in μB per formula unit: 0.3

Lattice parameters (Å, degrees): 5.1385 7.1359 2.6548 90.00 90.00 90.00
With the nearest neighbours (Å) after each atom.
Space group Cmmm (No. 65)
Asymmetric unit:
Cu 0.2500 0.2500 0.0000 (multiplicity 4)  4 Ni 2.57, 4 Pt 2.57, 4 Cu 2.57-2.65
Ni 0.0000 0.0000 0.5000 (multiplicity 2)  8 Cu 2.57, 2 Pt 2.57, 2 Ni 2.65
Pt 0.0000 0.5000 0.5000 (multiplicity 2)  8 Cu 2.57, 2 Ni 2.57, 2 Pt 2.65